Record 1
PrNd2Ho2Er | GGA-PBE | relaxed

```
data_PrNd2Ho2Er
_chemical_formula_sum 'Pr2 Nd4 Ho4 Er2'
_cell_length_a 7.058
_cell_length_b 9.883
_cell_length_c 5.677
_cell_angle_alpha 90.00
_cell_angle_beta 90.00
_cell_angle_gamma 90.00
_space_group_name_H-M_alt 'P n n m'
_space_group_IT_number 58
loop_
_space_group_symop_operation_xyz
'x,y,z'
'-x,-y,-z'
'-x,-y,z'
'x,y,-z'
'x+1/2,-y+1/2,-z+1/2'
'-x+1/2,y+1/2,z+1/2'
'-x+1/2,y+1/2,-z+1/2'
'x+1/2,-y+1/2,z+1/2'
loop_
_atom_site_label
_atom_site_type_symbol
_atom_site_fract_x
_atom_site_fract_y
_atom_site_fract_z
Pr1 Pr 0.000 0.000 0.000
Nd1 Nd 0.247 0.333 0.000
Ho1 Ho 0.250 0.167 0.500
Er1 Er 0.000 0.500 0.500
```

Summary:
The total energy comes out at -4.6083 eV/atom. The total magnetic moment is 0.0 Bohr magnetons per cell. For the density of states at the Fermi level, the calculation gives 1.519 states/eV per atom.



Record 2
Na3Bi4Pb2 | GGA-PBE | relaxed

```
data_Na3Bi4Pb2
_chemical_formula_sum 'Na12 Bi16 Pb8'
_cell_length_a 15.942
_cell_length_b 11.830
_cell_length_c 6.008
_cell_angle_alpha 90.00
_cell_angle_beta 100.34
_cell_angle_gamma 90.00
_space_group_name_H-M_alt 'C 1 2/c 1'
_space_group_IT_number 15
loop_
_space_group_symop_operation_xyz
'x,y,z'
'-x,-y,-z'
'-x,y,-z+1/2'
'x,-y,z+1/2'
'x+1/2,y+1/2,z'
'-x+1/2,-y+1/2,-z'
'-x+1/2,y+1/2,-z+1/2'
'x+1/2,-y+1/2,z+1/2'
loop_
_atom_site_label
_atom_site_type_symbol
_atom_site_fract_x
_atom_site_fract_y
_atom_site_fract_z
Na1 Na 0.000 0.115 0.250
Na2 Na 0.160 0.366 0.084
Bi1 Bi 0.050 0.377 0.533
Bi2 Bi 0.127 0.121 0.786
Pb1 Pb 0.228 0.118 0.355
```

Summary:
The total energy comes out at -3.1199 eV/atom. The total magnetic moment is 0.0 Bohr magnetons per cell. For the density of states at the Fermi level, the calculation gives 0.424 states/eV per atom.



Record 3
LuTiAlZn | GGA-PBE | relaxed

```
data_LuTiAlZn
_chemical_formula_sum 'Lu4 Ti4 Al4 Zn4'
_cell_length_a 6.676
_cell_length_b 6.676
_cell_length_c 6.676
_cell_angle_alpha 90.00
_cell_angle_beta 90.00
_cell_angle_gamma 90.00
_space_group_name_H-M_alt 'F -4 3 m'
_space_group_IT_number 216
_space_group_name_Hall 'F -4 2 3'
loop_
_atom_site_label
_atom_site_type_symbol
_atom_site_fract_x
_atom_site_fract_y
_atom_site_fract_z
Lu1 Lu 0.000 0.000 0.000
Ti1 Ti 0.000 0.000 0.500
Al1 Al 0.250 0.250 0.750
Zn1 Zn 0.250 0.250 0.250
```

Summary:
The total energy comes out at -4.5882 eV/atom. The total magnetic moment is 0.0 Bohr magnetons per cell. For the density of states at the Fermi level, the calculation gives 0.553 states/eV per atom.



Record 4
Cu2Ag2Pd15 | GGA-PBE | relaxed

```
data_Cu2Ag2Pd15
_chemical_formula_sum 'Cu6 Ag6 Pd45'
_cell_length_a 8.9890
_cell_length_b 8.9890
_cell_length_c 13.6937
_cell_angle_alpha 90.00
_cell_angle_beta 90.00
_cell_angle_gamma 120.00
_space_group_name_H-M_alt 'R -3 m'
_space_group_IT_number 166
_space_group_name_Hall '-R 3 2"'
loop_
_atom_site_label
_atom_site_type_symbol
_atom_site_fract_x
_atom_site_fract_y
_atom_site_fract_z
Cu1 Cu 0.0000 0.0000 0.0930
Ag1 Ag 0.0000 0.0000 0.3043
Pd1 Pd 0.0000 0.3162 0.0000
Pd2 Pd 0.0000 0.5000 0.5000
Pd3 Pd 0.0008 0.5004 0.1596
```

Summary:
The total energy comes out at -4.6614 eV/atom. The total magnetic moment is 0.0 Bohr magnetons per cell. For the density of states at the Fermi level, the calculation gives 1.149 states/eV per atom.



Q: Number 2 is which compound?
A: Na3Bi4Pb2



Q: Look up the total magnetic moment of the fourth one.
A: 0.0 Bohr magnetons per cell



Q: What is the formula in the third record?
A: LuTiAlZn



Q: Which value of density of states at the Fermi level does entry 1 give?
A: 1.519 states/eV per atom